Model w:
Computed, not measured: a geometry-optimized LaPr6Y2 structure at the PBE level of DFT.

Results
* DOS at the Fermi energy: 16.34 states/eV per cell

a b c (Å): 6.273 6.273 15.751
angles (deg): 102.20 102.20 32.50
Fractional positions:
1 La 0.000 0.000 0.000
2 Pr 0.041 0.041 0.232
3 Pr 0.293 0.293 0.106
4 Pr 0.373 0.373 0.563
5 Pr 0.627 0.627 0.437
6 Pr 0.707 0.707 0.894
7 Pr 0.959 0.959 0.768
8 Y 0.333 0.333 0.335
9 Y 0.667 0.667 0.665

Model x:
Computed, not measured: a geometry-optimized LaPr6Y2 structure at the PBE level of DFT.

Results
* DOS at the Fermi energy: 16.25 states/eV per cell

a b c (Å): 10.246 10.246 3.514
angles (deg): 90.00 90.00 120.00
Fractional positions:
1 La 0.000 0.000 0.000
2 Pr 0.000 0.342 0.224
3 Pr 0.000 0.658 0.776
4 Pr 0.342 0.000 0.224
5 Pr 0.342 0.342 0.776
6 Pr 0.658 0.000 0.776
7 Pr 0.658 0.658 0.224
8 Y 0.333 0.667 0.500
9 Y 0.667 0.333 0.500

How do the energies compare? Relative to the most stable structure, in eV/atom: model w 0.047; model x 0.000.

Model w:
Computed, not measured: a geometry-optimized La2Pr5Y5 structure at the PBE level of DFT.

Results
* DOS at the Fermi energy: 16.36 states/eV per cell

a b c (Å): 5.843 6.674 11.534
angles (deg): 90.00 90.00 90.00
Fractional positions:
1 La 0.000 0.000 0.000
2 La 0.000 0.500 0.500
3 Pr 0.500 0.000 0.500
4 Pr 0.500 0.247 0.245
5 Pr 0.500 0.247 0.755
6 Pr 0.500 0.753 0.245
7 Pr 0.500 0.753 0.755
8 Y 0.000 0.000 0.335
9 Y 0.000 0.000 0.665
10 Y 0.000 0.500 0.163
11 Y 0.000 0.500 0.837
12 Y 0.500 0.500 0.000

Model x:
Computed, not measured: a geometry-optimized La2Pr5Y5 structure at the PBE level of DFT.

Results
* DOS at the Fermi energy: 19.27 states/eV per cell

a b c (Å): 8.200 8.200 11.602
angles (deg): 115.27 115.27 36.72
Fractional positions:
1 La 0.083 0.083 0.251
2 La 0.917 0.917 0.749
3 Pr 0.000 0.000 0.500
4 Pr 0.166 0.166 0.000
5 Pr 0.248 0.248 0.748
6 Pr 0.752 0.752 0.252
7 Pr 0.834 0.834 0.000
8 Y 0.333 0.333 0.499
9 Y 0.417 0.417 0.251
10 Y 0.500 0.500 0.000
11 Y 0.583 0.583 0.749
12 Y 0.667 0.667 0.501

How do the energies compare? Relative to the most stable structure, in eV/atom: model w 0.250; model x 0.000.

Model w:
Computed, not measured: a geometry-optimized La4Pr2Y structure at the PBE level of DFT.

Results
* DOS at the Fermi energy: 26.39 states/eV per cell

a b c (Å): 7.075 8.838 9.605
angles (deg): 64.86 71.05 76.11
Fractional positions:
1 La 0.000 0.000 0.000
2 La 0.042 0.190 0.263
3 La 0.185 0.764 0.548
4 La 0.280 0.145 0.571
5 La 0.327 0.339 0.832
6 La 0.426 0.714 0.860
7 La 0.851 0.427 0.718
8 La 0.897 0.618 0.977
9 Pr 0.140 0.574 0.284
10 Pr 0.476 0.909 0.121
11 Pr 0.618 0.479 0.403
12 Pr 0.753 0.049 0.690
13 Y 0.567 0.284 0.147
14 Y 0.707 0.858 0.429

Model x:
Computed, not measured: a geometry-optimized La4Pr2Y structure at the PBE level of DFT.

Results
* DOS at the Fermi energy: 19.82 states/eV per cell

a b c (Å): 9.253 9.253 9.253
angles (deg): 135.55 101.04 95.43
Fractional positions:
1 La 0.149 0.146 0.003
2 La 0.244 0.212 0.469
3 La 0.244 0.775 0.031
4 La 0.357 0.854 0.503
5 La 0.643 0.146 0.497
6 La 0.756 0.225 0.969
7 La 0.756 0.788 0.531
8 La 0.851 0.854 0.997
9 Pr 0.000 0.500 0.500
10 Pr 0.032 0.282 0.750
11 Pr 0.500 0.500 0.000
12 Pr 0.968 0.718 0.250
13 Y 0.500 0.000 0.000
14 Y 0.500 0.500 0.500

How do the energies compare? Relative to the most stable structure, in eV/atom: model w 0.000; model x 0.158.